# PBE with a Hubbard U TaCrSnO6, optimized geometry
# VASP energy: -0.5843 Ry per atom
data_TaCrSnO6
_chemical_formula_sum 'Ta2 Cr2 Sn2 O12'
_symmetry_space_group_name_H-M 'P -3 1 c'
_symmetry_Int_Tables_number 163
_symmetry_space_group_name_Hall '-P 3 2c'
_cell_length_a 5.2259
_cell_length_b 5.2259
_cell_length_c 8.8544
_cell_angle_alpha 90.00
_cell_angle_beta 90.00
_cell_angle_gamma 120.00
loop_
_atom_site_label
_atom_site_type_symbol
_atom_site_fract_x
_atom_site_fract_y
_atom_site_fract_z
Ta1 Ta 0.3333 0.6667 0.2500
Cr1 Cr 0.0000 0.0000 0.0000
Sn1 Sn 0.3333 0.6667 0.7500
O1 O 0.0135 0.3407 0.1271